CaMg2Cd9 | GGA-PBE | relaxed

```
CaMg2Cd9
1.0
-6.010 6.010 3.889
6.010 -6.010 3.889
6.010 6.010 -3.889
Ca Mg Cd
2 4 18
direct
0.375 0.625 0.750 Ca
0.625 0.375 0.250 Ca
0.000 0.000 0.000 Mg
0.000 0.000 0.500 Mg
0.000 0.500 0.000 Mg
0.500 0.000 0.500 Mg
0.125 0.875 0.250 Cd
0.128 0.554 0.333 Cd
0.128 0.796 0.574 Cd
0.204 0.279 0.333 Cd
0.204 0.872 0.926 Cd
0.279 0.204 0.833 Cd
0.279 0.446 0.074 Cd
0.446 0.279 0.574 Cd
0.446 0.872 0.167 Cd
0.554 0.128 0.833 Cd
0.554 0.721 0.426 Cd
0.721 0.554 0.926 Cd
0.721 0.796 0.167 Cd
0.796 0.128 0.074 Cd
0.796 0.721 0.667 Cd
0.872 0.204 0.426 Cd
0.872 0.446 0.667 Cd
0.875 0.125 0.750 Cd
```

Values from the calculation:
formation energy	-0.124	eV per atom
excess energy over the best structure of this formula in the dataset	0.0000	eV per atom


Ca3MgCd12 | GGA-PBE | relaxed

```
Ca3MgCd12
1.0
4.656 0.000 0.000
0.000 4.656 0.000
0.000 0.000 18.019
Ca Mg Cd
3 1 12
direct
0.000 0.000 0.000 Ca
0.000 0.000 0.259 Ca
0.000 0.000 0.741 Ca
0.000 0.000 0.500 Mg
0.000 0.500 0.129 Cd
0.000 0.500 0.386 Cd
0.000 0.500 0.614 Cd
0.000 0.500 0.871 Cd
0.500 0.000 0.129 Cd
0.500 0.000 0.386 Cd
0.500 0.000 0.614 Cd
0.500 0.000 0.871 Cd
0.500 0.500 0.000 Cd
0.500 0.500 0.261 Cd
0.500 0.500 0.500 Cd
0.500 0.500 0.739 Cd
```

Values from the calculation:
formation energy	-0.205	eV per atom


Number 1: total DFT energy (no corrections) -1.243 eV per atom, DOS at the Fermi energy 3.51 states/eV/f.u., volume 23.416 A^3/atom. Number 2: total DFT energy (no corrections) -1.366 eV per atom, DOS at the Fermi energy 6.93 states/eV/f.u., volume 24.409 A^3/atom.